Tb3ScS4: relaxed, PBE.

```
data_Tb3ScS4
_chemical_formula_sum 'Tb3 Sc1 S4'
_cell_length_a 6.729
_cell_length_b 6.729
_cell_length_c 3.844
_cell_angle_alpha 90.00
_cell_angle_beta 90.00
_cell_angle_gamma 109.11
_space_group_name_H-M_alt 'P 1'
_space_group_IT_number 1
_space_group_name_Hall 'P 1'
loop_
_atom_site_label
_atom_site_type_symbol
_atom_site_fract_x
_atom_site_fract_y
_atom_site_fract_z
Tb1 Tb 0.000 0.000 0.000
Tb2 Tb 0.000 0.500 0.500
Tb3 Tb 0.500 0.000 0.500
Sc1 Sc 0.500 0.500 0.000
S1 S 0.256 0.744 0.000
S2 S 0.262 0.262 0.500
S3 S 0.738 0.738 0.500
S4 S 0.744 0.256 0.000
```

Output
Space-group type: No. 65
Formation energy without anion corrections in eV per atom: -1.96
DOS(E_F) in states/eV per atom: 0.617
Magnetic moment in μB per formula unit: 0.00